Zr2SbCl: relaxed, PBE.

V (Å³ per cell): 208.53
Energy relative to the lowest polymorph listed for this composition (meV/atom): 63
Mass density (kg/m3): 5410
DOS(E_F) (states/eV/cell): 5.0
Total magnetization (μB per cell): 0.00
E_form (uncorrected) (meV per atom): -648

Lattice parameters (Å, degrees): 3.992 4.991 10.466 90.00 90.00 90.00
Sites, in units of the cell vectors:
1 Zr 0.000 0.000 0.000
2 Zr 0.000 0.500 0.227
3 Zr 0.500 0.000 0.227
4 Zr 0.500 0.500 0.000
5 Sb 0.000 0.000 0.445
6 Sb 0.500 0.500 0.445
7 Cl 0.000 0.500 0.834
8 Cl 0.500 0.000 0.834